Record 1
{"formula": "LiCdFeBi", "functional": "GGA-PBE", "state": "relaxed", "lattice": [[0.000, 3.327, 3.327], [3.327, 0.000, 3.327], [3.327, 3.327, 0.000]], "species": ["Bi", "Li", "Fe", "Cd"], "fractional_positions": [[0.000, 0.000, 0.000], [0.250, 0.250, 0.250], [0.750, 0.750, 0.750], [0.500, 0.500, 0.500]], "m_tot_mub_per_cell": 2.19, "e_above_lowest_polymorph_ev_per_atom": 0.000, "energy_ev_per_cell": -14.6}

Record 2
{"formula": "LuCdFeBi", "functional": "GGA-PBE", "state": "relaxed", "lattice": [[0.000, 3.521, 3.521], [3.521, 0.000, 3.521], [3.521, 3.521, 0.000]], "species": ["Bi", "Cd", "Fe", "Lu"], "fractional_positions": [[0.000, 0.000, 0.000], [0.500, 0.500, 0.500], [0.750, 0.750, 0.750], [0.250, 0.250, 0.250]], "m_tot_mub_per_cell": 2.00, "e_above_lowest_polymorph_ev_per_atom": 0.000, "energy_ev_per_cell": -17.2}